Sm2PbO4 | PBE | relaxed

POSCAR file:
```
Sm2PbO4
1.0
0.0000 5.0067 5.0067
5.0067 0.0000 5.0067
5.0067 5.0067 0.0000
Sm Pb O
4 2 8
direct
0.0000 0.0000 0.0000
0.0000 0.0000 0.5000
0.0000 0.5000 0.0000
0.5000 0.0000 0.0000
0.3750 0.3750 0.3750
0.6250 0.6250 0.6250
0.2013 0.7662 0.7662
0.2338 0.2338 0.2338
0.2338 0.2338 0.7987
0.2338 0.7987 0.2338
0.7662 0.2013 0.7662
0.7662 0.7662 0.2013
0.7662 0.7662 0.7662
0.7987 0.2338 0.2338
```

Values from the calculation:
* SG: Fd-3m (227)

***

LuCuTe2PbSe | PBE | relaxed

POSCAR file:
```
LuCuTe2PbSe
1.0
2.0980 -7.2592 0.0000
2.0980 7.2592 0.0000
0.0000 0.0000 10.4690
Lu Cu Te Pb Se
2 2 4 2 2
direct
0.0000 0.0000 0.0000
0.0000 0.0000 0.5000
0.4739 0.5261 0.7500
0.5261 0.4739 0.2500
0.3555 0.6445 0.5584
0.3555 0.6445 0.9416
0.6445 0.3555 0.0584
0.6445 0.3555 0.4416
0.2582 0.7418 0.2500
0.7418 0.2582 0.7500
0.0701 0.9299 0.7500
0.9299 0.0701 0.2500
```

Values from the calculation:
* SG: Cmcm (63)

***

Ta3InS5 | PBE | relaxed

POSCAR file:
```
Ta3InS5
1.0
5.6823 0.0000 0.0000
-2.8412 4.9210 0.0000
0.0000 0.0000 7.2733
Ta In S
3 1 5
direct
0.0000 0.5000 0.0000
0.5000 0.0000 0.0000
0.5000 0.5000 0.0000
0.0000 0.0000 0.5000
0.0000 0.0000 0.0000
0.3333 0.6667 0.2609
0.3333 0.6667 0.7391
0.6667 0.3333 0.2609
0.6667 0.3333 0.7391
```

Values from the calculation:
* SG: P6/mmm (191)

***

Nd2In2IrPd3 | PBE | relaxed

POSCAR file:
```
Nd2In2IrPd3
1.0
4.6352 0.0000 0.0000
-2.3176 4.0142 0.0000
0.0000 0.0000 9.1927
Nd In Ir Pd
2 2 1 3
direct
0.0000 0.0000 0.0000
0.3333 0.6667 0.5118
0.6667 0.3333 0.2587
0.6667 0.3333 0.7675
0.3333 0.6667 0.8386
0.0000 0.0000 0.3397
0.0000 0.0000 0.6675
0.3333 0.6667 0.1752
```

Values from the calculation:
* SG: P3m1 (156)

***

Number 1: final energy -7.40 eV/atom. Number 2: final energy -4.40 eV/atom. Number 3: final energy -7.10 eV/atom. Number 4: final energy -5.62 eV/atom.